1.
Compound: ZnFeTcGe
Source: the Alexandria database
Functional: PBE-GGA
Structure: optimized geometry

```
data_ZnFeTcGe
_chemical_formula_sum 'Zn1 Fe1 Tc1 Ge1'
_space_group_name_H-M_alt 'P 1'
_space_group_IT_number 1
_cell_length_a 4.232
_cell_length_b 4.232
_cell_length_c 4.232
_cell_angle_alpha 60.00
_cell_angle_beta 60.00
_cell_angle_gamma 60.00
loop_
_space_group_symop_operation_xyz
'x,y,z'
loop_
_atom_site_label
_atom_site_fract_x
_atom_site_fract_y
_atom_site_fract_z
_atom_site_occupancy
Fe1 0.000 0.000 0.000 1
Tc1 0.500 0.500 0.500 1
Ge1 0.750 0.750 0.750 1
Zn1 0.250 0.250 0.250 1
```

* raw total energy: -6.091 eV/atom
* crystal system: cubic

=====

2.
Compound: FeGeTe
Source: the Alexandria database
Functional: PBE-GGA
Structure: optimized geometry

```
data_FeGeTe
_chemical_formula_sum 'Fe1 Ge1 Te1'
_space_group_name_H-M_alt 'P 1'
_space_group_IT_number 1
_cell_length_a 5.505
_cell_length_b 3.489
_cell_length_c 3.489
_cell_angle_alpha 120.00
_cell_angle_beta 90.00
_cell_angle_gamma 90.00
loop_
_space_group_symop_operation_xyz
'x,y,z'
loop_
_atom_site_label
_atom_site_fract_x
_atom_site_fract_y
_atom_site_fract_z
_atom_site_occupancy
Fe1 0.318 0.667 0.333 1
Te1 0.617 0.333 0.667 1
Ge1 0.065 0.000 0.000 1
```

* E_form (uncorrected): 0.177 eV per atom
* crystal system: trigonal

=====

3.
Compound: FeGeTe
Source: the Alexandria database
Functional: PBE-GGA
Structure: optimized geometry

```
data_FeGeTe
_chemical_formula_sum 'Fe2 Ge2 Te2'
_space_group_name_H-M_alt 'P 1'
_space_group_IT_number 1
_cell_length_a 3.185
_cell_length_b 3.241
_cell_length_c 11.865
_cell_angle_alpha 106.26
_cell_angle_beta 89.99
_cell_angle_gamma 90.00
loop_
_space_group_symop_operation_xyz
'x,y,z'
loop_
_atom_site_label
_atom_site_fract_x
_atom_site_fract_y
_atom_site_fract_z
_atom_site_occupancy
Te1 0.250 0.407 0.166 1
Te2 0.750 0.593 0.834 1
Fe1 0.250 0.410 0.656 1
Fe2 0.750 0.590 0.344 1
Ge1 0.750 0.825 0.573 1
Ge2 0.250 0.175 0.427 1
```

* E_form (uncorrected): -0.003 eV per atom
* crystal system: monoclinic

=====

4.
Compound: Fe2Ge2Te
Source: the Alexandria database
Functional: PBE-GGA
Structure: optimized geometry

```
data_Fe2Ge2Te
_chemical_formula_sum 'Fe4 Ge4 Te2'
_space_group_name_H-M_alt 'P 1'
_space_group_IT_number 1
_cell_length_a 7.185
_cell_length_b 7.185
_cell_length_c 2.902
_cell_angle_alpha 90.00
_cell_angle_beta 90.00
_cell_angle_gamma 90.00
loop_
_space_group_symop_operation_xyz
'x,y,z'
loop_
_atom_site_label
_atom_site_fract_x
_atom_site_fract_y
_atom_site_fract_z
_atom_site_occupancy
Te1 0.500 0.500 0.000 1
Te2 0.000 0.000 0.000 1
Fe1 0.151 0.349 0.000 1
Fe2 0.349 0.849 0.000 1
Fe3 0.651 0.151 0.000 1
Fe4 0.849 0.651 0.000 1
Ge1 0.862 0.362 0.500 1
Ge2 0.138 0.638 0.500 1
Ge3 0.638 0.862 0.500 1
Ge4 0.362 0.138 0.500 1
```

* E_form (uncorrected): 0.210 eV per atom
* crystal system: tetragonal

=====

5.
Compound: Fe2Ge2Te
Source: the Alexandria database
Functional: PBE-GGA
Structure: optimized geometry

```
data_Fe2Ge2Te
_chemical_formula_sum 'Fe2 Ge2 Te1'
_space_group_name_H-M_alt 'P 1'
_space_group_IT_number 1
_cell_length_a 3.679
_cell_length_b 3.679
_cell_length_c 6.433
_cell_angle_alpha 73.38
_cell_angle_beta 73.38
_cell_angle_gamma 90.00
loop_
_space_group_symop_operation_xyz
'x,y,z'
loop_
_atom_site_label
_atom_site_fract_x
_atom_site_fract_y
_atom_site_fract_z
_atom_site_occupancy
Ge1 0.250 0.750 0.500 1
Ge2 0.750 0.250 0.500 1
Fe1 0.387 0.387 0.226 1
Fe2 0.613 0.613 0.774 1
Te1 0.000 0.000 0.000 1
```

* E_form (uncorrected): 0.217 eV per atom
* crystal system: tetragonal

=====

6.
Compound: Fe3GeTe
Source: the Alexandria database
Functional: PBE-GGA
Structure: optimized geometry

```
data_Fe3GeTe
_chemical_formula_sum 'Fe3 Ge1 Te1'
_space_group_name_H-M_alt 'P 1'
_space_group_IT_number 1
_cell_length_a 4.702
_cell_length_b 4.702
_cell_length_c 4.702
_cell_angle_alpha 90.00
_cell_angle_beta 90.00
_cell_angle_gamma 90.00
loop_
_space_group_symop_operation_xyz
'x,y,z'
loop_
_atom_site_label
_atom_site_fract_x
_atom_site_fract_y
_atom_site_fract_z
_atom_site_occupancy
Ge1 0.500 0.500 0.500 1
Fe1 0.500 0.000 0.000 1
Fe2 0.000 0.500 0.000 1
Fe3 0.000 0.000 0.500 1
Te1 0.000 0.000 0.000 1
```

* E_form (uncorrected): 1.196 eV per atom
* crystal system: cubic

=====

7.
Compound: Fe3GeTe
Source: the Alexandria database
Functional: PBE-GGA
Structure: optimized geometry

```
data_Fe3GeTe
_chemical_formula_sum 'Fe3 Ge1 Te1'
_space_group_name_H-M_alt 'P 1'
_space_group_IT_number 1
_cell_length_a 4.367
_cell_length_b 4.367
_cell_length_c 4.367
_cell_angle_alpha 90.00
_cell_angle_beta 90.00
_cell_angle_gamma 90.00
loop_
_space_group_symop_operation_xyz
'x,y,z'
loop_
_atom_site_label
_atom_site_fract_x
_atom_site_fract_y
_atom_site_fract_z
_atom_site_occupancy
Fe1 0.500 0.000 0.000 1
Fe2 0.000 0.000 0.500 1
Fe3 0.000 0.500 0.000 1
Ge1 0.000 0.000 0.000 1
Te1 0.500 0.500 0.500 1
```

* E_form (uncorrected): 0.807 eV per atom
* crystal system: cubic

=====

8.
Compound: VFeGeTe2
Source: the Alexandria database
Functional: PBE-GGA
Structure: optimized geometry

```
data_VFeGeTe2
_chemical_formula_sum 'V1 Fe1 Ge1 Te2'
_space_group_name_H-M_alt 'P 1'
_space_group_IT_number 1
_cell_length_a 5.145
_cell_length_b 4.150
_cell_length_c 5.145
_cell_angle_alpha 90.00
_cell_angle_beta 90.00
_cell_angle_gamma 90.00
loop_
_space_group_symop_operation_xyz
'x,y,z'
loop_
_atom_site_label
_atom_site_fract_x
_atom_site_fract_y
_atom_site_fract_z
_atom_site_occupancy
Fe1 0.000 0.000 0.000 1
Te1 0.500 0.000 0.000 1
Te2 0.000 0.000 0.500 1
V1 0.000 0.500 0.000 1
Ge1 0.500 0.500 0.500 1
```

* E_form (uncorrected): 0.650 eV per atom
* crystal system: tetragonal

=====

9.
Compound: Th4FeGe
Source: the Alexandria database
Functional: PBE-GGA
Structure: optimized geometry

```
data_Th4FeGe
_chemical_formula_sum 'Th8 Fe2 Ge2'
_space_group_name_H-M_alt 'P 1'
_space_group_IT_number 1
_cell_length_a 6.127
_cell_length_b 6.688
_cell_length_c 8.521
_cell_angle_alpha 90.00
_cell_angle_beta 112.33
_cell_angle_gamma 90.00
loop_
_space_group_symop_operation_xyz
'x,y,z'
loop_
_atom_site_label
_atom_site_fract_x
_atom_site_fract_y
_atom_site_fract_z
_atom_site_occupancy
Th1 0.698 0.507 0.227 1
Th2 0.698 0.993 0.227 1
Th3 0.136 0.750 0.079 1
Th4 0.725 0.750 0.622 1
Th5 0.302 0.493 0.773 1
Th6 0.302 0.007 0.773 1
Th7 0.864 0.250 0.921 1
Th8 0.275 0.250 0.378 1
Fe1 0.322 0.250 0.070 1
Fe2 0.678 0.750 0.930 1
Ge1 0.835 0.250 0.554 1
Ge2 0.165 0.750 0.446 1
```

* raw total energy: -7.349 eV/atom
* crystal system: monoclinic

=====

10.
Compound: Th4Fe2Ge
Source: the Alexandria database
Functional: PBE-GGA
Structure: optimized geometry

```
data_Th4Fe2Ge
_chemical_formula_sum 'Th8 Fe4 Ge2'
_space_group_name_H-M_alt 'P 1'
_space_group_IT_number 1
_cell_length_a 7.627
_cell_length_b 7.627
_cell_length_c 7.626
_cell_angle_alpha 106.54
_cell_angle_beta 106.54
_cell_angle_gamma 115.52
loop_
_space_group_symop_operation_xyz
'x,y,z'
loop_
_atom_site_label
_atom_site_fract_x
_atom_site_fract_y
_atom_site_fract_z
_atom_site_occupancy
Fe1 0.496 0.374 0.621 1
Fe2 0.626 0.247 0.122 1
Fe3 0.753 0.875 0.379 1
Fe4 0.125 0.504 0.878 1
Th1 0.394 0.517 0.249 1
Th2 0.853 0.604 0.621 1
Th3 0.855 0.606 0.123 1
Th4 0.768 0.147 0.751 1
Th5 0.268 0.145 0.751 1
Th6 0.483 0.732 0.877 1
Th7 0.396 0.017 0.249 1
Th8 0.983 0.232 0.379 1
Ge1 0.250 0.750 0.500 1
Ge2 0.000 0.000 0.000 1
```

* raw total energy: -7.503 eV/atom
* crystal system: tetragonal

=====

11.
Compound: Th12Fe6Ge
Source: the Alexandria database
Functional: PBE-GGA
Structure: optimized geometry

```
data_Th12Fe6Ge
_chemical_formula_sum 'Th12 Fe6 Ge1'
_space_group_name_H-M_alt 'P 1'
_space_group_IT_number 1
_cell_length_a 8.510
_cell_length_b 8.510
_cell_length_c 8.510
_cell_angle_alpha 109.47
_cell_angle_beta 109.47
_cell_angle_gamma 109.47
loop_
_space_group_symop_operation_xyz
'x,y,z'
loop_
_atom_site_label
_atom_site_fract_x
_atom_site_fract_y
_atom_site_fract_z
_atom_site_occupancy
Ge1 0.000 0.000 0.000 1
Fe1 0.861 0.361 0.500 1
Fe2 0.500 0.139 0.639 1
Fe3 0.361 0.500 0.861 1
Fe4 0.500 0.861 0.361 1
Fe5 0.139 0.639 0.500 1
Fe6 0.639 0.500 0.139 1
Th1 0.178 0.312 0.490 1
Th2 0.866 0.178 0.688 1
Th3 0.510 0.822 0.688 1
Th4 0.312 0.134 0.822 1
Th5 0.490 0.178 0.312 1
Th6 0.688 0.866 0.178 1
Th7 0.822 0.312 0.134 1
Th8 0.688 0.510 0.822 1
Th9 0.312 0.490 0.178 1
Th10 0.134 0.822 0.312 1
Th11 0.178 0.688 0.866 1
Th12 0.822 0.688 0.510 1
```

* raw total energy: -7.672 eV/atom
* crystal system: cubic

=====

12.
Compound: Th2Fe12Ge7
Source: the Alexandria database
Functional: PBE-GGA
Structure: optimized geometry

```
data_Th2Fe12Ge7
_chemical_formula_sum 'Th2 Fe12 Ge7'
_space_group_name_H-M_alt 'P 1'
_space_group_IT_number 1
_cell_length_a 4.003
_cell_length_b 9.397
_cell_length_c 9.397
_cell_angle_alpha 120.00
_cell_angle_beta 90.00
_cell_angle_gamma 90.00
loop_
_space_group_symop_operation_xyz
'x,y,z'
loop_
_atom_site_label
_atom_site_fract_x
_atom_site_fract_y
_atom_site_fract_z
_atom_site_occupancy
Fe1 0.000 0.800 0.693 1
Fe2 0.000 0.307 0.107 1
Fe3 0.000 0.040 0.530 1
Fe4 0.500 0.933 0.630 1
Fe5 0.500 0.370 0.302 1
Fe6 0.500 0.522 0.756 1
Fe7 0.500 0.234 0.478 1
Fe8 0.500 0.698 0.067 1
Fe9 0.000 0.893 0.200 1
Fe10 0.000 0.489 0.960 1
Fe11 0.500 0.244 0.766 1
Fe12 0.000 0.470 0.511 1
Ge1 0.000 0.189 0.285 1
Ge2 0.000 0.715 0.903 1
Ge3 0.500 0.639 0.569 1
Ge4 0.500 0.931 0.361 1
Ge5 0.500 0.431 0.069 1
Ge6 0.000 0.333 0.667 1
Ge7 0.000 0.097 0.811 1
Th1 0.000 0.667 0.333 1
Th2 0.500 0.000 0.000 1
```

* raw total energy: -7.296 eV/atom
* crystal system: hexagonal

=====

no.,mass density (g/cm³)
1,9.05
2,7.33
3,7.23
4,8.52
5,8.02
6,5.88
7,7.33
8,6.57
9,10.87
10,10.91
11,11.17
12,8.91